Record 1
Density functional theory data (PBE-GGA) for a relaxed AcPmRh2 crystal.

a = 3.6000 Å, b = 3.6000 Å, c = 7.2803 Å
α = 90.00°, β = 90.00°, γ = 90.00°
With the nearest neighbours (Å) after each atom.
Fractional coordinates of all 4 atoms:
Ac: 0.5000 0.5000 0.0000  8 Rh 3.22, 4 Ac 3.60
Rh: 0.0000 0.0000 0.7295  4 Pm 3.05, 4 Ac 3.22, 1 Rh 3.34
Rh: 0.0000 0.0000 0.2705  4 Pm 3.05, 4 Ac 3.22, 1 Rh 3.34
Pm: 0.5000 0.5000 0.5000  8 Rh 3.05

The spin magnetization comes out at 0.00 μB/f.u. The calculated volume comes out at 94.4 Å³/cell. The calculation puts the electronic total energy at -25.92 eV per cell. As for the space-group type: P4/mmm (123). For the density of states at the Fermi level, the calculation gives 3.224 states/eV/f.u. The calculation puts the energy relative to the lowest polymorph listed for this composition at 0.0906 eV per atom.

Record 2
Density functional theory data (PBE-GGA) for a relaxed AlCdAu6 crystal.

a = 4.7150 Å, b = 4.7150 Å, c = 7.9930 Å
α = 72.85°, β = 72.85°, γ = 60.00°
With the nearest neighbours (Å) after each atom.
Fractional coordinates of all 8 atoms:
Al: 0.0000 0.0000 0.0000  8 Au 2.62-2.84
Cd: 0.5000 0.5000 0.5000  14 Au 2.95-3.23
Au: 0.6314 0.6314 0.1057  7 Au 2.82-3.15, 3 Al 2.84, 1 Cd 2.96
Au: 0.1161 0.1161 0.6518  1 Al 2.62, 4 Au 2.79-2.87
Au: 0.8839 0.8839 0.3482  1 Al 2.62, 4 Au 2.79-2.87
Au: 0.3686 0.3686 0.8943  7 Au 2.82-3.15, 3 Al 2.84, 1 Cd 2.96
Au: 0.2435 0.2435 0.2695  8 Au 2.79-2.99
Au: 0.7565 0.7565 0.7305  8 Au 2.79-2.99

The spin magnetization comes out at 0.00 μB/f.u. The calculated volume comes out at 144.7 Å³/cell. The calculation puts the electronic total energy at -25.48 eV per cell. As for the space-group type: R-3m (166). For the density of states at the Fermi level, the calculation gives 2.377 states/eV/f.u. The calculation puts the energy relative to the lowest polymorph listed for this composition at 0.0059 eV per atom.

Record 3
Density functional theory data (PBE-GGA) for a relaxed FeSiOs3 crystal.

a = 4.3973 Å, b = 4.3973 Å, c = 4.3973 Å
α = 90.00°, β = 90.00°, γ = 90.00°
With the nearest neighbours (Å) after each atom.
Fractional coordinates of all 5 atoms:
Si: 0.5000 0.5000 0.5000  12 Os 3.11
Os: 0.0000 0.5000 0.0000  2 Fe 2.20
Os: 0.0000 0.0000 0.5000  2 Fe 2.20
Os: 0.5000 0.0000 0.0000  2 Fe 2.20
Fe: 0.0000 0.0000 0.0000  6 Os 2.20

The spin magnetization comes out at 0.00 μB/f.u. The calculated volume comes out at 85.0 Å³/cell. The calculation puts the electronic total energy at -38.31 eV per cell. As for the space-group type: Pm-3m (221). The calculation puts the energy relative to the elements, uncorrected at 1.8537 eV per atom. For the density of states at the Fermi level, the calculation gives 6.009 states/eV/f.u. The calculation puts the energy relative to the lowest polymorph listed for this composition at 0.3072 eV per atom.

Record 4
Density functional theory data (PBE-GGA) for a relaxed HoThSe4 crystal.

a = 7.1206 Å, b = 6.9849 Å, c = 7.0728 Å
α = 90.00°, β = 93.07°, γ = 90.00°
With the nearest neighbours (Å) after each atom.
Fractional coordinates of all 12 atoms:
Ho: 0.5000 0.0000 0.5000  6 Se 2.83-2.95
Ho: 0.0000 0.5000 0.5000  6 Se 2.83-2.95
Th: 0.0000 0.0000 0.0000  6 Se 2.86-2.99
Th: 0.5000 0.5000 0.0000  6 Se 2.86-2.99
Se: 0.8554 0.6422 0.1476  1 Ho 2.83, 2 Th 2.86-2.92
Se: 0.6446 0.1422 0.8524  1 Ho 2.83, 2 Th 2.86-2.92
Se: 0.3662 0.3695 0.3727  2 Ho 2.88-2.95, 1 Th 2.99, 1 Se 3.14
Se: 0.1338 0.8695 0.6273  2 Ho 2.88-2.95, 1 Th 2.99, 1 Se 3.14
Se: 0.1446 0.3578 0.8524  1 Ho 2.83, 2 Th 2.86-2.92
Se: 0.3554 0.8578 0.1476  1 Ho 2.83, 2 Th 2.86-2.92
Se: 0.6338 0.6305 0.6273  2 Ho 2.88-2.95, 1 Th 2.99, 1 Se 3.14
Se: 0.8662 0.1305 0.3727  2 Ho 2.88-2.95, 1 Th 2.99, 1 Se 3.14

The spin magnetization comes out at 0.76 μB/f.u. The calculated volume comes out at 351.3 Å³/cell. The calculation puts the electronic total energy at -68.71 eV per cell. As for the space-group type: P2_1/c (14). The calculation puts the energy relative to the elements, uncorrected at -1.4034 eV per atom. For the density of states at the Fermi level, the calculation gives 3.347 states/eV/f.u.

Among the records above, which one has the lowest electronic total energy? HoThSe4